No. 1
A plane-wave DFT calculation with PBE-GGA was carried out for CaAu after structural relaxation.

Unit cell a=4.224 b=4.224 c=8.093 alpha=90.00 beta=90.00 gamma=120.00
Positions (direct):
Au  0.000  0.000  0.028
Ca  0.667  0.333  0.827
Ca  0.000  0.000  0.423
Au  0.667  0.333  0.222

Properties
DFT total energy in eV/cell: -12.355
Spin magnetization in μB per formula unit: 0.0
DFT formation energy in eV/atom: -0.45

***

No. 2
A plane-wave DFT calculation with PBE-GGA was carried out for KRb2PmI6 after structural relaxation.

Unit cell a=8.679 b=9.250 c=12.397 alpha=90.00 beta=88.77 gamma=90.00
Positions (direct):
Pm  0.000  0.500  0.000
I  0.210  0.182  0.443
K  0.000  0.500  0.500
I  0.710  0.318  0.943
Pm  0.500  0.000  0.500
I  0.829  0.783  0.932
Rb  0.467  0.416  0.245
I  0.290  0.682  0.057
Rb  0.033  0.916  0.255
I  0.329  0.717  0.432
I  0.790  0.818  0.557
I  0.373  0.957  0.735
Rb  0.967  0.084  0.745
I  0.127  0.457  0.765
I  0.671  0.283  0.568
Rb  0.533  0.584  0.755
I  0.627  0.043  0.265
I  0.873  0.543  0.235
K  0.500  0.000  0.000
I  0.171  0.217  0.068

Properties
Uncorrected formation energy in eV per atom: -1.477
DFT total energy in eV/cell: -63.716
Spin magnetization in μB per formula unit: 0.0

***

No. 3
A plane-wave DFT calculation with PBE-GGA was carried out for BaGaTcBr2 after structural relaxation.

Unit cell a=6.148 b=6.951 c=6.148 alpha=90.00 beta=90.00 gamma=90.00
Site moments in Bohr magnetons follow the coordinates.
Positions (direct):
Br  0.500  0.000  0.000  0.01
Ba  0.000  0.000  0.000  -0.01
Ga  0.500  0.500  0.500  -0.09
Tc  0.000  0.500  0.000  3.50
Br  0.000  0.000  0.500  0.01

Properties
Uncorrected formation energy in eV per atom: 0.383
DFT total energy in eV/cell: -16.744
Spin magnetization in μB per formula unit: 4.0

***

No. 4
A plane-wave DFT calculation with PBE-GGA was carried out for NaPr2Nd after structural relaxation.

Unit cell a=4.736 b=5.440 c=5.440 alpha=90.00 beta=90.00 gamma=90.00
Positions (direct):
Pr  0.000  0.500  0.000
Pr  0.000  0.000  0.500
Nd  0.500  0.000  0.000
Na  0.500  0.500  0.500

Properties
DFT total energy in eV/cell: -14.708
Energy above the lowest structure with this stoichiometry in eV/atom: 0.145
Spin magnetization in μB per formula unit: 0.0
DFT formation energy in eV/atom: 0.23

***

No. 5
A plane-wave DFT calculation with PBE-GGA was carried out for SiTcSb2 after structural relaxation.

Unit cell a=3.213 b=3.213 c=8.006 alpha=90.00 beta=90.00 gamma=90.00
Positions (direct):
Tc  0.500  0.500  0.692
Sb  0.500  0.500  0.327
Sb  0.000  0.000  0.925
Si  0.000  0.000  0.555

Properties
Uncorrected formation energy in eV per atom: -0.061
DFT total energy in eV/cell: -24.279
Spin magnetization in μB per formula unit: 0.0

***

No. 6
A plane-wave DFT calculation with PBE-GGA was carried out for La2SmEr3Te6 after structural relaxation.

Unit cell a=4.378 b=8.964 c=9.961 alpha=104.77 beta=102.69 gamma=90.00
Positions (direct):
La  0.166  0.331  0.331
Sm  0.500  0.000  0.000
Er  0.169  0.833  0.337
La  0.834  0.669  0.669
Er  0.831  0.167  0.663
Te  0.662  0.593  0.325
Te  0.994  0.255  0.989
Te  0.006  0.745  0.011
Te  0.338  0.407  0.675
Te  0.332  0.931  0.664
Te  0.668  0.069  0.336
Er  0.500  0.500  0.000

Properties
Uncorrected formation energy in eV per atom: -1.374
DFT total energy in eV/cell: -63.605
Spin magnetization in μB per formula unit: 0.0

***

Question: Which of these has the lowest DFT total energy?
Answer: KRb2PmI6

***

Question: What is the DFT total energy in the fourth record?
Answer: -14.708 eV/cell

***

Question: Which formula does entry 3 have?
Answer: BaGaTcBr2

***

Question: What is the DFT total energy in the fourth record?
Answer: -14.708 eV/cell